Model P:
Below is crystalline InNi3P at its relaxed geometry, with properties calculated at the PBE-GGA level.

Cell and atoms, written as CIF:
```
data_InNi3P
_chemical_formula_sum 'In1 Ni3 P1'
_symmetry_space_group_name_H-M 'P m -3 m'
_symmetry_Int_Tables_number 221
_symmetry_space_group_name_Hall '-P 4 2 3'
_cell_length_a 4.620
_cell_length_b 4.620
_cell_length_c 4.620
_cell_angle_alpha 90.00
_cell_angle_beta 90.00
_cell_angle_gamma 90.00
loop_
_atom_site_label
_atom_site_type_symbol
_atom_site_fract_x
_atom_site_fract_y
_atom_site_fract_z
In1 In 0.000 0.000 0.000
Ni1 Ni 0.000 0.000 0.500
P1 P 0.500 0.500 0.500
```

Output
DOS(E_F) (states/eV per cell): 4.90


Model Q:
Below is crystalline InNi3P at its relaxed geometry, with properties calculated at the PBE-GGA level.

Cell and atoms, written as CIF:
```
data_InNi3P
_chemical_formula_sum 'In1 Ni3 P1'
_symmetry_space_group_name_H-M 'P m -3 m'
_symmetry_Int_Tables_number 221
_symmetry_space_group_name_Hall '-P 4 2 3'
_cell_length_a 4.204
_cell_length_b 4.204
_cell_length_c 4.204
_cell_angle_alpha 90.00
_cell_angle_beta 90.00
_cell_angle_gamma 90.00
loop_
_atom_site_label
_atom_site_type_symbol
_atom_site_fract_x
_atom_site_fract_y
_atom_site_fract_z
In1 In 0.000 0.000 0.000
Ni1 Ni 0.000 0.500 0.500
P1 P 0.500 0.500 0.500
```

Output
DOS(E_F) (states/eV per cell): 0.00


Energetically preferred structure: model Q | next structure: +144.3 kJ/mol of atoms


Model P:
Below is crystalline InNiP2S at its relaxed geometry, with properties calculated at the PBE-GGA level.

Cell and atoms, written as CIF:
```
data_InNiP2S
_chemical_formula_sum 'In1 Ni1 P2 S1'
_symmetry_space_group_name_H-M 'P 4/m m m'
_symmetry_Int_Tables_number 123
_symmetry_space_group_name_Hall '-P 4 2'
_cell_length_a 4.985
_cell_length_b 4.985
_cell_length_c 4.998
_cell_angle_alpha 90.00
_cell_angle_beta 90.00
_cell_angle_gamma 90.00
loop_
_atom_site_label
_atom_site_type_symbol
_atom_site_fract_x
_atom_site_fract_y
_atom_site_fract_z
In1 In 0.000 0.000 0.000
Ni1 Ni 0.500 0.500 0.500
P1 P 0.000 0.500 0.000
S1 S 0.000 0.000 0.500
```

Output
DOS(E_F) (states/eV per cell): 9.35


Model Q:
Below is crystalline InNiP2S at its relaxed geometry, with properties calculated at the PBE-GGA level.

Cell and atoms, written as CIF:
```
data_InNiP2S
_chemical_formula_sum 'In1 Ni1 P2 S1'
_symmetry_space_group_name_H-M 'P 4/m m m'
_symmetry_Int_Tables_number 123
_symmetry_space_group_name_Hall '-P 4 2'
_cell_length_a 4.373
_cell_length_b 4.373
_cell_length_c 4.814
_cell_angle_alpha 90.00
_cell_angle_beta 90.00
_cell_angle_gamma 90.00
loop_
_atom_site_label
_atom_site_type_symbol
_atom_site_fract_x
_atom_site_fract_y
_atom_site_fract_z
In1 In 0.000 0.000 0.000
Ni1 Ni 0.500 0.500 0.500
P1 P 0.000 0.500 0.500
S1 S 0.500 0.500 0.000
```

Output
DOS(E_F) (states/eV per cell): 5.06


Energetically preferred structure: model Q | next structure: +102.8 kJ/mol of atoms


Model P:
Below is crystalline Pa2InNi at its relaxed geometry, with properties calculated at the PBE-GGA level.

Cell and atoms, written as CIF:
```
data_Pa2InNi
_chemical_formula_sum 'Pa2 In1 Ni1'
_symmetry_space_group_name_H-M 'P 4/m m m'
_symmetry_Int_Tables_number 123
_symmetry_space_group_name_Hall '-P 4 2'
_cell_length_a 3.148
_cell_length_b 3.148
_cell_length_c 8.679
_cell_angle_alpha 90.00
_cell_angle_beta 90.00
_cell_angle_gamma 90.00
loop_
_atom_site_label
_atom_site_type_symbol
_atom_site_fract_x
_atom_site_fract_y
_atom_site_fract_z
Pa1 Pa 0.000 0.000 0.211
In1 In 0.500 0.500 0.500
Ni1 Ni 0.500 0.500 0.000
```

Output
DOS(E_F) (states/eV per cell): 5.96


Model Q:
Below is crystalline Pa2InNi at its relaxed geometry, with properties calculated at the PBE-GGA level.

Cell and atoms, written as CIF:
```
data_Pa2InNi
_chemical_formula_sum 'Pa6 In3 Ni3'
_symmetry_space_group_name_H-M 'R -3 m'
_symmetry_Int_Tables_number 166
_symmetry_space_group_name_Hall '-R 3 2"'
_cell_length_a 3.1176
_cell_length_b 3.1176
_cell_length_c 31.9518
_cell_angle_alpha 90.00
_cell_angle_beta 90.00
_cell_angle_gamma 120.00
loop_
_atom_site_label
_atom_site_type_symbol
_atom_site_fract_x
_atom_site_fract_y
_atom_site_fract_z
Pa1 Pa 0.0000 0.0000 0.0783
In1 In 0.0000 0.0000 0.5000
Ni1 Ni 0.0000 0.0000 0.0000
```

Output
DOS(E_F) (states/eV per cell): 18.46


Energetically preferred structure: model P | next structure: +43.6 kJ/mol of atoms


Model P:
Below is crystalline InNi2Pb at its relaxed geometry, with properties calculated at the PBE-GGA level.

Cell and atoms, written as CIF:
```
data_InNi2Pb
_chemical_formula_sum 'In2 Ni4 Pb2'
_symmetry_space_group_name_H-M 'I m m 2'
_symmetry_Int_Tables_number 44
_cell_length_a 3.157
_cell_length_b 4.160
_cell_length_c 11.236
_cell_angle_alpha 90.00
_cell_angle_beta 90.00
_cell_angle_gamma 90.00
loop_
_symmetry_equiv_pos_as_xyz
'x,y,z'
'-x,-y,z'
'-x,y,z'
'x,-y,z'
'x+1/2,y+1/2,z+1/2'
'-x+1/2,-y+1/2,z+1/2'
'-x+1/2,y+1/2,z+1/2'
'x+1/2,-y+1/2,z+1/2'
loop_
_atom_site_label
_atom_site_type_symbol
_atom_site_fract_x
_atom_site_fract_y
_atom_site_fract_z
In1 In 0.000 0.000 0.000
Ni1 Ni 0.000 0.000 0.516
Ni2 Ni 0.000 0.500 0.841
Pb1 Pb 0.000 0.500 0.233
```

Output
DOS(E_F) (states/eV per cell): 5.87


Model Q:
Below is crystalline InNi2Pb at its relaxed geometry, with properties calculated at the PBE-GGA level.

Cell and atoms, written as CIF:
```
data_InNi2Pb
_chemical_formula_sum 'In2 Ni4 Pb2'
_symmetry_space_group_name_H-M 'I -4 m 2'
_symmetry_Int_Tables_number 119
_symmetry_space_group_name_Hall 'I -4 -2'
_cell_length_a 3.895
_cell_length_b 3.895
_cell_length_c 9.204
_cell_angle_alpha 90.00
_cell_angle_beta 90.00
_cell_angle_gamma 90.00
loop_
_atom_site_label
_atom_site_type_symbol
_atom_site_fract_x
_atom_site_fract_y
_atom_site_fract_z
In1 In 0.000 0.000 0.000
Ni1 Ni 0.000 0.000 0.500
Ni2 Ni 0.000 0.500 0.750
Pb1 Pb 0.000 0.500 0.250
```

Output
DOS(E_F) (states/eV per cell): 5.12


Model R:
Below is crystalline InNi2Pb at its relaxed geometry, with properties calculated at the PBE-GGA level.

Cell and atoms, written as CIF:
```
data_InNi2Pb
_chemical_formula_sum 'In4 Ni8 Pb4'
_symmetry_space_group_name_H-M 'F -4 3 m'
_symmetry_Int_Tables_number 216
_symmetry_space_group_name_Hall 'F -4 2 3'
_cell_length_a 6.625
_cell_length_b 6.625
_cell_length_c 6.625
_cell_angle_alpha 90.00
_cell_angle_beta 90.00
_cell_angle_gamma 90.00
loop_
_atom_site_label
_atom_site_type_symbol
_atom_site_fract_x
_atom_site_fract_y
_atom_site_fract_z
In1 In 0.000 0.000 0.000
Ni1 Ni 0.000 0.000 0.500
Ni2 Ni 0.250 0.250 0.750
Pb1 Pb 0.250 0.250 0.250
```

Output
DOS(E_F) (states/eV per cell): 6.60


Energetically preferred structure: model P | next structure: +9.1 kJ/mol of atoms


Model P:
Below is crystalline InNi2Pb at its relaxed geometry, with properties calculated at the PBE-GGA level.

Cell and atoms, written as CIF:
```
data_InNi2Pb
_chemical_formula_sum 'In4 Ni8 Pb4'
_symmetry_space_group_name_H-M 'F m -3 m'
_symmetry_Int_Tables_number 225
_symmetry_space_group_name_Hall '-F 4 2 3'
_cell_length_a 6.488
_cell_length_b 6.488
_cell_length_c 6.488
_cell_angle_alpha 90.00
_cell_angle_beta 90.00
_cell_angle_gamma 90.00
loop_
_atom_site_label
_atom_site_type_symbol
_atom_site_fract_x
_atom_site_fract_y
_atom_site_fract_z
In1 In 0.000 0.000 0.000
Ni1 Ni 0.250 0.250 0.250
Pb1 Pb 0.000 0.000 0.500
```

Output
DOS(E_F) (states/eV per cell): 6.68


Model Q:
Below is crystalline InNi2Pb at its relaxed geometry, with properties calculated at the PBE-GGA level.

Cell and atoms, written as CIF:
```
data_InNi2Pb
_chemical_formula_sum 'In1 Ni2 Pb1'
_symmetry_space_group_name_H-M 'P 4 m m'
_symmetry_Int_Tables_number 99
_cell_length_a 3.199
_cell_length_b 3.199
_cell_length_c 7.367
_cell_angle_alpha 90.00
_cell_angle_beta 90.00
_cell_angle_gamma 90.00
loop_
_symmetry_equiv_pos_as_xyz
'x,y,z'
'-y,x,z'
'-x,-y,z'
'y,-x,z'
'-x,y,z'
'y,x,z'
'x,-y,z'
'-y,-x,z'
loop_
_atom_site_label
_atom_site_type_symbol
_atom_site_fract_x
_atom_site_fract_y
_atom_site_fract_z
In1 In 0.000 0.000 0.000
Ni1 Ni 0.000 0.000 0.364
Ni2 Ni 0.500 0.500 0.197
Pb1 Pb 0.500 0.500 0.591
```

Output
DOS(E_F) (states/eV per cell): 2.97


Energetically preferred structure: model Q | next structure: +0.9 kJ/mol of atoms


Model P:
Below is crystalline InNiPb at its relaxed geometry, with properties calculated at the PBE-GGA level.

Cell and atoms, written as CIF:
```
data_InNiPb
_chemical_formula_sum 'In2 Ni2 Pb2'
_symmetry_space_group_name_H-M 'I 4 m m'
_symmetry_Int_Tables_number 107
_symmetry_space_group_name_Hall 'I 4 -2'
_cell_length_a 3.275
_cell_length_b 3.275
_cell_length_c 12.134
_cell_angle_alpha 90.00
_cell_angle_beta 90.00
_cell_angle_gamma 90.00
loop_
_atom_site_label
_atom_site_type_symbol
_atom_site_fract_x
_atom_site_fract_y
_atom_site_fract_z
In1 In 0.000 0.000 0.000
Ni1 Ni 0.000 0.000 0.383
Pb1 Pb 0.000 0.000 0.731
```

Output
DOS(E_F) (states/eV per cell): 4.65


Model Q:
Below is crystalline InNiPb at its relaxed geometry, with properties calculated at the PBE-GGA level.

Cell and atoms, written as CIF:
```
data_InNiPb
_chemical_formula_sum 'In1 Ni1 Pb1'
_symmetry_space_group_name_H-M 'P 3 m 1'
_symmetry_Int_Tables_number 156
_cell_length_a 4.1867
_cell_length_b 4.1867
_cell_length_c 4.5895
_cell_angle_alpha 90.00
_cell_angle_beta 90.00
_cell_angle_gamma 120.00
loop_
_symmetry_equiv_pos_as_xyz
'x,y,z'
'-y,x-y,z'
'-x+y,-x,z'
'-y,-x,z'
'-x+y,y,z'
'x,x-y,z'
loop_
_atom_site_label
_atom_site_type_symbol
_atom_site_fract_x
_atom_site_fract_y
_atom_site_fract_z
In1 In 0.0000 0.0000 0.0000
Ni1 Ni 0.6667 0.3333 0.2329
Pb1 Pb 0.3333 0.6667 0.5182
```

Output
DOS(E_F) (states/eV per cell): 1.45


Model R:
Below is crystalline InNiPb at its relaxed geometry, with properties calculated at the PBE-GGA level.

Cell and atoms, written as CIF:
```
data_InNiPb
_chemical_formula_sum 'In1 Ni1 Pb1'
_symmetry_space_group_name_H-M 'P 3 m 1'
_symmetry_Int_Tables_number 156
_cell_length_a 3.5191
_cell_length_b 3.5191
_cell_length_c 6.2434
_cell_angle_alpha 90.00
_cell_angle_beta 90.00
_cell_angle_gamma 120.00
loop_
_symmetry_equiv_pos_as_xyz
'x,y,z'
'-y,x-y,z'
'-x+y,-x,z'
'-y,-x,z'
'-x+y,y,z'
'x,x-y,z'
loop_
_atom_site_label
_atom_site_type_symbol
_atom_site_fract_x
_atom_site_fract_y
_atom_site_fract_z
In1 In 0.0000 0.0000 0.0000
Ni1 Ni 0.6667 0.3333 0.2682
Pb1 Pb 0.3333 0.6667 0.5573
```

Output
DOS(E_F) (states/eV per cell): 1.95


Model S:
Below is crystalline InNiPb at its relaxed geometry, with properties calculated at the PBE-GGA level.

Cell and atoms, written as CIF:
```
data_InNiPb
_chemical_formula_sum 'In4 Ni4 Pb4'
_symmetry_space_group_name_H-M 'F -4 3 m'
_symmetry_Int_Tables_number 216
_symmetry_space_group_name_Hall 'F -4 2 3'
_cell_length_a 6.422
_cell_length_b 6.422
_cell_length_c 6.422
_cell_angle_alpha 90.00
_cell_angle_beta 90.00
_cell_angle_gamma 90.00
loop_
_atom_site_label
_atom_site_type_symbol
_atom_site_fract_x
_atom_site_fract_y
_atom_site_fract_z
In1 In 0.000 0.000 0.000
Ni1 Ni 0.250 0.250 0.250
Pb1 Pb 0.000 0.000 0.500
```

Output
DOS(E_F) (states/eV per cell): 7.57


Energetically preferred structure: model S | next structure: +9.7 kJ/mol of atoms